The following is a DFT calculation (PBE) of a relaxed structure of Er2ThMoC4.

The structure in extended XYZ format:
```
16
Lattice="-0.9481 -3.3061 -0.7217 4.3165 1.5739 -4.3242 8.7859 -4.1078 7.2751" Properties=species:S:1:pos:R:3 pbc="T T T"
C 2.2398 -2.6907 0.8270
C 4.3930 -2.0539 3.6375
C 9.9144 -3.1493 1.4021
C 5.2956 -1.5680 0.2261
C 0.0000 0.0000 0.0000
C 3.1601 -0.5696 -1.5423
C 6.8586 -4.2720 2.0030
C 8.9942 -5.2704 3.7714
Er 0.8780 -1.8392 -1.2844
Er 4.5627 -3.5619 1.7667
Er 7.5916 -2.2780 0.4625
Er 11.2763 -4.0008 3.5135
Mo 3.4470 -1.0527 0.2940
Mo 8.7073 -4.7873 1.9351
Th 4.7974 -2.7434 -2.2914
Th 7.3569 -3.0966 4.5205
```

Formation enthalpy at 0 K in eV/atom: -0.125
Size of the total moment in μB/f.u.: 0.00

=====

The following is a DFT calculation (PBE) of a relaxed structure of Rb3Tl2Hg4Au2.

The structure in extended XYZ format:
```
11
Lattice="-2.3060 -1.9311 4.0236 -2.2650 -0.1014 -4.4828 7.5957 -16.2992 -3.4693" Properties=species:S:1:pos:R:3 pbc="T T T"
Tl 1.9675 -9.8230 -3.5868
Tl 1.0571 -8.5087 -0.3417
Rb 5.6751 -12.1779 -2.5921
Rb 0.0000 0.0000 0.0000
Rb 1.9206 -4.1213 -0.8772
Hg 2.4027 -11.3962 -0.9563
Hg 0.6219 -6.9355 -2.9722
Hg -1.3244 -3.3982 0.7461
Hg 4.3490 -14.9335 -4.6745
Au -1.3144 -2.7806 -2.0878
Au 4.3390 -15.5511 -1.8407
```

Formation enthalpy at 0 K in eV/atom: -0.184
Size of the total moment in μB/f.u.: 0.00

=====

The following is a DFT calculation (PBE) of a relaxed structure of LaSi.

The structure in extended XYZ format:
```
2
Lattice="-0.7333 3.0618 3.1809 -3.0304 -3.2039 -0.7633 1.5657 -2.0331 2.3180" Properties=species:S:1:pos:R:3 pbc="T T T"
La 0.0000 0.0000 0.0000
Si -0.7161 -0.0433 3.0252
```

Size of the total moment in μB/f.u.: 0.00
E_tot in Ry per atom: -0.3992

=====

- Which formula does entry 3 have?
  LaSi